#1
VASP calculation (GGA-PBE) on a relaxed TcGeAs crystal.

Crystal system: monoclinic

a = 4.8195 Å, b = 4.8195 Å, c = 7.7462 Å
α = 117.49°, β = 117.49°, γ = 38.80°
Closest atoms and distances in Å follow each position.
Positions (direct):
Tc 0.0000 0.0000 0.0000  4 Ge 2.55-2.76, 4 As 2.58-2.72
Tc 0.6930 0.6930 0.5968  4 As 2.52-2.68, 4 Ge 2.61-2.64
Ge 0.4466 0.4466 0.6838  5 Tc 2.61-2.76, 2 As 2.90
Ge 0.7054 0.7054 0.2658  3 As 2.45-2.71, 3 Tc 2.55-2.62
As 0.2480 0.2480 0.9003  5 Tc 2.58-2.72
As 0.9981 0.9981 0.3330  3 Ge 2.45-2.71, 3 Tc 2.52-2.59



#2
VASP calculation (GGA-PBE) on a relaxed TcGeAs crystal.

Crystal system: triclinic

a = 3.1467 Å, b = 5.4624 Å, c = 6.6228 Å
α = 65.69°, β = 76.38°, γ = 89.99°
Closest atoms and distances in Å follow each position.
Positions (direct):
Tc 0.0000 0.0000 0.0000  4 As 2.52, 2 Ge 2.57
Tc 0.5000 0.5000 0.0000  2 As 2.52, 4 Ge 2.57
Ge 0.1550 0.4885 0.6878  3 Tc 2.57, 2 Ge 2.83-2.85
Ge 0.8450 0.5115 0.3122  3 Tc 2.57, 2 Ge 2.83-2.85
As 0.3521 0.0184 0.2990  3 Tc 2.52
As 0.6479 0.9816 0.7010  3 Tc 2.52



Stability, descending: #1, #2